Record 1
Density functional theory data (SCAN) for a PBEsol-optimized structure of LiSc2S.

The value obtained for the uncorrected formation energy is -208 kJ/mol of formula units.

Cell: 6.094 6.094 6.094 Å, 103.29 103.29 122.70°
Fractional coordinates of all 8 atoms:
Li 0.000 0.000 0.000
Li 0.750 0.250 0.500
Sc 0.190 0.625 0.065
Sc 0.375 0.440 0.565
Sc 0.560 0.125 0.935
Sc 0.875 0.810 0.435
S 0.250 0.750 0.500
S 0.500 0.500 0.000

Record 2
Density functional theory data (SCAN) for a PBEsol-optimized structure of LiSeS2.

The value obtained for the uncorrected formation energy is -75 kJ/mol of formula units. For the polymorph energy (0 for the lowest one), the calculation gives 0.000 eV/atom.

Cell: 7.534 7.534 7.534 Å, 139.77 139.77 58.20°
Fractional coordinates of all 8 atoms:
Li 0.000 0.000 0.000
Li 0.750 0.250 0.500
Se 0.250 0.750 0.500
Se 0.500 0.500 0.000
S 0.137 0.625 0.012
S 0.375 0.387 0.512
S 0.613 0.125 0.988
S 0.875 0.863 0.488

Record 3
Density functional theory data (SCAN) for a PBEsol-optimized structure of LiSeS2.

The value obtained for the uncorrected formation energy is -24 kJ/mol of formula units. For the polymorph energy (0 for the lowest one), the calculation gives 0.133 eV/atom.

Cell: 8.283 8.283 8.283 Å, 21.89 21.89 21.89°
Fractional coordinates of all 4 atoms:
Li 0.000 0.000 0.000
Se 0.500 0.500 0.500
S 0.403 0.403 0.403
S 0.597 0.597 0.597

Record 4
Density functional theory data (SCAN) for a PBEsol-optimized structure of LiSeS2.

The value obtained for the uncorrected formation energy is -2 kJ/mol of formula units. For the polymorph energy (0 for the lowest one), the calculation gives 0.190 eV/atom.

Cell: 7.411 7.411 7.411 Å, 30.74 30.74 30.74°
Fractional coordinates of all 4 atoms:
Li 0.000 0.000 0.000
Se 0.500 0.500 0.500
S 0.108 0.108 0.108
S 0.892 0.892 0.892

Computed values of magnetic moment (unit: μB per cell) for the preceding records, in sequence: 1.8; 0.0; 0.0; 0.0.